# 1
The following is a DFT calculation (PBE-GGA) of a geometry-optimized CdFeSb structure.

Structure (POSCAR):
```
CdFeSb
1.0
4.3855 0.0000 0.0000
-2.1928 3.7980 0.0000
0.0000 0.0000 3.7482
Cd Fe Sb
1 1 1
Direct
0.0000 0.0000 0.0000
0.6667 0.3333 0.5000
0.3333 0.6667 0.5000
```

Output
Total magnetization in μB/f.u.: 2.07
Electronic total energy in eV/cell: -12.309
D(E_F) in states/eV/f.u.: 2.657
ρ in g cm⁻³: 7.7

=====

# 2
The following is a DFT calculation (PBE-GGA) of a geometry-optimized CdFe3Sb structure.

Structure (POSCAR):
```
CdFe3Sb
1.0
4.7806 0.0000 0.0000
0.0000 4.7806 0.0000
0.0000 0.0000 4.7806
Cd Fe Sb
1 3 1
Direct
0.0000 0.0000 0.0000
0.0000 0.5000 0.5000
0.5000 0.0000 0.5000
0.5000 0.5000 0.0000
0.5000 0.5000 0.5000
```

Output
Total magnetization in μB/f.u.: 7.73
Electronic total energy in eV/cell: -24.818
D(E_F) in states/eV/f.u.: 12.599
Offset from the most stable computed form in eV/atom: 0.000
ρ in g cm⁻³: 6.1

=====

# 3
The following is a DFT calculation (PBE-GGA) of a geometry-optimized CdFe2Sb structure.

Structure (POSCAR):
```
CdFe2Sb
1.0
1.5270 0.8816 8.4695
-1.5270 0.8816 8.4695
0.0000 -1.7632 8.4695
Cd Fe Sb
1 2 1
Direct
0.0000 0.0000 0.0000
0.2462 0.2462 0.2462
0.7538 0.7538 0.7538
0.5000 0.5000 0.5000
```

Output
Total magnetization in μB/f.u.: 4.49
Electronic total energy in eV/cell: -20.113
D(E_F) in states/eV/f.u.: 4.104
Offset from the most stable computed form in eV/atom: 0.256
ρ in g cm⁻³: 8.4

=====

# 4
The following is a DFT calculation (PBE-GGA) of a geometry-optimized CdFe2Sb structure.

Structure (POSCAR):
```
CdFe2Sb
1.0
-1.6325 2.2236 4.6932
1.6325 -2.2236 4.6932
1.6325 2.2236 -4.6932
Cd Fe Sb
1 2 1
Direct
0.0000 0.0000 0.0000
0.2727 0.7727 0.5000
0.4689 0.4689 0.0000
0.7191 0.2191 0.5000
```

Output
Total magnetization in μB/f.u.: 4.85
Electronic total energy in eV/cell: -20.641
D(E_F) in states/eV/f.u.: 3.134
Offset from the most stable computed form in eV/atom: 0.124
ρ in g cm⁻³: 8.4